{
  "formula": "Li8ZnAu2",
  "functional": "PBE",
  "state": "relaxed",
  "e_tot_ev_per_cell": -25.481,
  "polymorph_energy_ev_per_atom": 0.0845,
  "delta_e_f_mev_per_atom": -213,
  "rho_g_cm3": 4.11,
  "sg": "C2/m (12)",
  "cell": [[5.138, -4.470, 0.000], [5.138, 4.470, 0.000], [-1.075, 0.000, 4.534]],
  "species": ["Li", "Li", "Li", "Li", "Li", "Li", "Li", "Li", "Zn", "Au", "Au"],
  "frac_coords": [[0.081, 0.081, 0.300], [0.139, 0.636, 0.169], [0.355, 0.355, 0.474], [0.364, 0.861, 0.831], [0.636, 0.139, 0.169], [0.645, 0.645, 0.526], [0.861, 0.364, 0.831], [0.919, 0.919, 0.700], [0.500, 0.500, 0.000], [0.234, 0.234, 0.902], [0.766, 0.766, 0.098]]
}

---

{
  "formula": "LaMgGa2Au2",
  "functional": "PBE",
  "state": "relaxed",
  "e_tot_ev_per_cell": -23.080,
  "delta_e_f_mev_per_atom": -658,
  "rho_g_cm3": 9.09,
  "sg": "P-3m1 (164)",
  "cell": [[4.491, 0.000, 0.000], [-2.246, 3.890, 0.000], [0.000, 0.000, 7.283]],
  "species": ["La", "Mg", "Ga", "Ga", "Au", "Au"],
  "frac_coords": [[0.000, 0.000, 0.000], [0.000, 0.000, 0.500], [0.333, 0.667, 0.281], [0.667, 0.333, 0.719], [0.333, 0.667, 0.694], [0.667, 0.333, 0.306]]
}

---

{
  "formula": "RbZnHg2Ru",
  "functional": "PBE",
  "state": "relaxed",
  "e_tot_ev_per_cell": -8.893,
  "delta_e_f_mev_per_atom": 646,
  "rho_g_cm3": 6.21,
  "sg": "P4/mmm (123)",
  "cell": [[5.325, 0.000, 0.000], [0.000, 5.325, 0.000], [0.000, 0.000, 6.154]],
  "species": ["Rb", "Zn", "Hg", "Hg", "Ru"],
  "frac_coords": [[0.000, 0.000, 0.000], [0.500, 0.500, 0.000], [0.000, 0.500, 0.500], [0.500, 0.000, 0.500], [0.000, 0.000, 0.500]]
}

---

{
  "formula": "Li2ZrMo",
  "functional": "PBE",
  "state": "relaxed",
  "e_tot_ev_per_cell": -43.065,
  "polymorph_energy_ev_per_atom": 0.1948,
  "delta_e_f_mev_per_atom": 419,
  "rho_g_cm3": 5.11,
  "sg": "Imm2 (44)",
  "cell": [[2.858, 0.000, 0.000], [0.000, 5.007, 0.000], [0.000, 0.000, 9.124]],
  "species": ["Li", "Li", "Li", "Li", "Zr", "Zr", "Mo", "Mo"],
  "frac_coords": [[0.000, 0.000, 0.000], [0.000, 0.500, 0.293], [0.500, 0.000, 0.793], [0.500, 0.500, 0.500], [0.000, 0.000, 0.525], [0.500, 0.500, 0.025], [0.000, 0.500, 0.758], [0.500, 0.000, 0.258]]
}